DFT (PBE+U) results for crystalline VIn2GaO6 at its relaxed geometry.

Structure (extended XYZ):
```
10
Lattice="2.673 1.543 4.713 -2.673 1.543 4.713 0.000 -3.087 4.713" Properties=species:S:1:pos:R:3 pbc="T T T"
V 0.000 0.000 0.000
In 0.000 0.000 3.034
In 0.000 0.000 10.077
Ga 0.000 0.000 7.033
O -1.726 0.239 6.098
O -0.923 -1.292 8.432
O 0.656 -1.614 6.098
O -0.657 1.445 8.432
O 1.069 1.375 6.098
O 1.580 -0.154 8.432
```

Output
* V: 11.67 Å³ per atom
* E_tot: -6.29 eV per atom